# 1
KLaPb2 | PBE | optimized geometry

It has space group I-4m2 (No. 119), with a = 4.8715 Å, b = 4.8715 Å, c = 11.3678 Å, α = 90.00°, β = 90.00° and γ = 90.00°. The asymmetric unit holds K at (0.0000, 0.0000, 0.0000), La at (0.0000, 0.5000, 0.7500), Pb at (0.0000, 0.0000, 0.5000) and Pb at (0.0000, 0.5000, 0.2500).

The value obtained for the volume is 33.7 A^3/atom. Its formation energy is -0.16 eV/atom.


# 2
KLaPb2 | PBE | optimized geometry

It has space group Pm (No. 6), with a = 3.8459 Å, b = 5.9319 Å, c = 5.9315 Å, α = 90.00°, β = 90.00° and γ = 90.00°. The asymmetric unit holds K at (0.0000, 0.0000, 0.0000), La at (0.0014, 0.5000, 0.5013), Pb at (0.5003, 0.0000, 0.5001) and Pb at (0.5007, 0.5000, 0.0017).

The value obtained for the volume is 33.8 A^3/atom. Its formation energy is -0.29 eV/atom.


# 3
KLa3Pb | PBE | optimized geometry

It has space group Pm-3m (No. 221), with a = 6.3021 Å, b = 6.3021 Å, c = 6.3021 Å, α = 90.00°, β = 90.00° and γ = 90.00°. The asymmetric unit holds K at (0.0000, 0.0000, 0.0000), La at (0.0000, 0.5000, 0.5000) and Pb at (0.5000, 0.5000, 0.5000).

The value obtained for the volume is 50.1 A^3/atom. Its formation energy is 0.25 eV/atom.


Number 1: excess energy over the best structure of this formula in the dataset 218 meV/atom. Number 2: excess energy over the best structure of this formula in the dataset 88 meV/atom. Number 3: excess energy over the best structure of this formula in the dataset 0 meV/atom.